1.
# KV3S

A relaxed KV3S crystal (GGA-PBE, the Alexandria database).

Unit cell a=4.5437 b=4.5437 c=4.5437 alpha=90.00 beta=90.00 gamma=90.00
Space group Pm-3m (No. 221)
Inequivalent atoms, fractional coordinates:
K1 0.0000 0.0000 0.0000 x1
V1 0.0000 0.5000 0.5000 x3
S1 0.5000 0.5000 0.5000 x1

The value obtained for the volume is 18.8 Å³ per atom. The value obtained for the uncorrected formation energy is 0.74 eV per atom. As for the crystal system: cubic. The calculation puts the density at 3.97 g/cm3. The calculation puts the spin magnetization at 3.9 μB per cell.


2.
# KVS3

A relaxed KVS3 crystal (GGA-PBE, the Alexandria database).

Unit cell a=5.3541 b=5.3541 c=5.3541 alpha=90.00 beta=90.00 gamma=90.00
Space group Pm-3m (No. 221)
Inequivalent atoms, fractional coordinates:
K1 0.0000 0.0000 0.0000 x1
V1 0.5000 0.5000 0.5000 x1
S1 0.0000 0.0000 0.5000 x3

The value obtained for the volume is 30.7 Å³ per atom. The value obtained for the uncorrected formation energy is 1.37 eV per atom. As for the crystal system: cubic. The calculation puts the density at 2.01 g/cm3. The calculation puts the spin magnetization at 0.0 μB per cell.


3.
# K3VS4

A relaxed K3VS4 crystal (GGA-PBE, the Alexandria database).

Unit cell a=6.8798 b=9.8403 c=7.4570 alpha=90.00 beta=90.00 gamma=90.00
Space group Imm2 (No. 44)
Inequivalent atoms, fractional coordinates:
K1 0.0000 0.0000 0.0000 x2
K2 0.0000 0.2400 0.5632 x4
V1 0.0000 0.5000 0.9980 x2
S1 0.0000 0.3157 0.1594 x4
S2 0.2504 0.0000 0.3278 x4

The value obtained for the volume is 31.6 Å³ per atom. The value obtained for the uncorrected formation energy is -1.07 eV per atom. As for the crystal system: orthorhombic. The calculation puts the density at 1.95 g/cm3. The calculation puts the spin magnetization at 0.0 μB per cell.


4.
# KV2S3

A relaxed KV2S3 crystal (GGA-PBE, the Alexandria database).

Unit cell a=3.4104 b=15.1387 c=9.1102 alpha=90.00 beta=90.00 gamma=90.00
Space group Cmcm (No. 63)
Inequivalent atoms, fractional coordinates:
K1 0.0000 0.2501 0.2500 x4
V1 0.0000 0.0000 0.0000 x4
V2 0.0000 0.4729 0.7500 x4
S1 0.0000 0.0736 0.7500 x4
S2 0.0000 0.3874 0.5494 x8

The value obtained for the volume is 19.6 Å³ per atom. The value obtained for the uncorrected formation energy is -1.02 eV per atom. As for the crystal system: orthorhombic. The calculation puts the density at 3.35 g/cm3. The calculation puts the spin magnetization at 1.0 μB per cell.


5.
# K5V2S6

A relaxed K5V2S6 crystal (GGA-PBE, the Alexandria database).

Unit cell a=12.3548 b=14.9600 c=3.9537 alpha=90.00 beta=90.00 gamma=90.00
Space group Pbam (No. 55)
Inequivalent atoms, fractional coordinates:
K1 0.0000 0.0000 0.0000 x2
K2 0.0562 0.2366 0.0000 x4
K3 0.1586 0.4799 0.0000 x4
V1 0.1914 0.6925 0.5000 x4
S1 0.0358 0.6211 0.5000 x4
S2 0.1698 0.0954 0.5000 x4
S3 0.1976 0.7797 0.0000 x4

The value obtained for the volume is 28.1 Å³ per atom. The value obtained for the uncorrected formation energy is -1.06 eV per atom. As for the crystal system: orthorhombic. The calculation puts the density at 2.23 g/cm3. The calculation puts the spin magnetization at 6.0 μB per cell.


6.
# KVS3

A relaxed KVS3 crystal (GGA-PBE, the Alexandria database).

Unit cell a=4.6875 b=4.6875 c=4.6875 alpha=90.00 beta=90.00 gamma=90.00
Space group Pm-3m (No. 221)
Inequivalent atoms, fractional coordinates:
K1 0.0000 0.0000 0.0000 x1
V1 0.5000 0.5000 0.5000 x1
S1 0.0000 0.5000 0.5000 x3

The value obtained for the volume is 20.6 Å³ per atom. The value obtained for the uncorrected formation energy is -0.70 eV per atom. As for the crystal system: cubic. The calculation puts the density at 3.00 g/cm3. The calculation puts the spin magnetization at 0.2 μB per cell.


7.
# K3VS3

A relaxed K3VS3 crystal (GGA-PBE, the Alexandria database).

Unit cell a=8.5677 b=7.7726 c=12.5435 alpha=90.00 beta=98.97 gamma=90.00
Space group P2_1/c (No. 14)
Inequivalent atoms, fractional coordinates:
K1 0.0865 0.1409 0.1342 x4
K2 0.3131 0.7330 0.7911 x4
K3 0.3966 0.2373 0.9213 x4
V1 0.1515 0.5703 0.0434 x4
S1 0.0726 0.0531 0.3774 x4
S2 0.2403 0.6575 0.5226 x4
S3 0.3509 0.0701 0.6482 x4

The value obtained for the volume is 29.5 Å³ per atom. The value obtained for the uncorrected formation energy is -1.09 eV per atom. As for the crystal system: monoclinic. The calculation puts the density at 2.13 g/cm3. The calculation puts the spin magnetization at 4.0 μB per cell.


8.
# KV3S

A relaxed KV3S crystal (GGA-PBE, the Alexandria database).

Unit cell a=4.3300 b=4.3300 c=4.3300 alpha=90.00 beta=90.00 gamma=90.00
Space group Pm-3m (No. 221)
Inequivalent atoms, fractional coordinates:
K1 0.0000 0.0000 0.0000 x1
V1 0.0000 0.0000 0.5000 x3
S1 0.5000 0.5000 0.5000 x1

The value obtained for the volume is 16.2 Å³ per atom. The value obtained for the uncorrected formation energy is 2.60 eV per atom. As for the crystal system: cubic. The calculation puts the density at 4.58 g/cm3. The calculation puts the spin magnetization at 0.0 μB per cell.


9.
# K2VS4

A relaxed K2VS4 crystal (GGA-PBE, the Alexandria database).

Unit cell a=4.6943 b=4.6943 c=15.8684 alpha=90.00 beta=90.00 gamma=90.00
Space group I4/mmm (No. 139)
Inequivalent atoms, fractional coordinates:
K1 0.0000 0.0000 0.1486 x4
V1 0.0000 0.0000 0.5000 x2
S1 0.0000 0.0000 0.3547 x4
S2 0.0000 0.5000 0.0000 x4

The value obtained for the volume is 25.0 Å³ per atom. The value obtained for the uncorrected formation energy is -0.71 eV per atom. As for the crystal system: tetragonal. The calculation puts the density at 2.44 g/cm3. The calculation puts the spin magnetization at 2.0 μB per cell.


10.
# KV2S2

A relaxed KV2S2 crystal (GGA-PBE, the Alexandria database).

Unit cell a=3.6018 b=3.6018 c=7.2890 alpha=90.00 beta=90.00 gamma=90.00
Space group P4/mmm (No. 123)
Inequivalent atoms, fractional coordinates:
K1 0.0000 0.0000 0.0000 x1
V1 0.0000 0.5000 0.5000 x2
S1 0.5000 0.5000 0.2743 x2

The value obtained for the volume is 18.9 Å³ per atom. The value obtained for the uncorrected formation energy is -0.81 eV per atom. As for the crystal system: tetragonal. The calculation puts the density at 3.60 g/cm3. The calculation puts the spin magnetization at 0.0 μB per cell.


11.
# KVS4

A relaxed KVS4 crystal (GGA-PBE, the Alexandria database).

Unit cell a=7.6645 b=14.2138 c=6.2265 alpha=90.00 beta=92.63 gamma=90.00
Space group C2/c (No. 15)
Inequivalent atoms, fractional coordinates:
K1 0.0000 0.1325 0.2500 x4
V1 0.0000 0.4442 0.7500 x4
S1 0.0824 0.3001 0.6255 x8
S2 0.2028 0.4894 0.4652 x8

The value obtained for the volume is 28.2 Å³ per atom. The value obtained for the uncorrected formation energy is -0.75 eV per atom. As for the crystal system: monoclinic. The calculation puts the density at 2.14 g/cm3. The calculation puts the spin magnetization at 0.0 μB per cell.


12.
# KVS3

A relaxed KVS3 crystal (GGA-PBE, the Alexandria database).

Unit cell a=6.5748 b=5.8758 c=7.1702 alpha=90.00 beta=109.99 gamma=90.00
Space group P2_1/m (No. 11)
Inequivalent atoms, fractional coordinates:
K1 0.2045 0.2500 0.3217 x2
V1 0.4227 0.7500 0.0329 x2
S1 0.1519 0.7500 0.1240 x2
S2 0.3386 0.5041 0.7628 x4

The value obtained for the volume is 26.0 Å³ per atom. The value obtained for the uncorrected formation energy is -0.93 eV per atom. As for the crystal system: monoclinic. The calculation puts the density at 2.38 g/cm3. The calculation puts the spin magnetization at 0.0 μB per cell.


Please write out number 4 again, unchanged.
# KV2S3

A relaxed KV2S3 crystal (GGA-PBE, the Alexandria database).

Unit cell a=3.4104 b=15.1387 c=9.1102 alpha=90.00 beta=90.00 gamma=90.00
Space group Cmcm (No. 63)
Inequivalent atoms, fractional coordinates:
K1 0.0000 0.2501 0.2500 x4
V1 0.0000 0.0000 0.0000 x4
V2 0.0000 0.4729 0.7500 x4
S1 0.0000 0.0736 0.7500 x4
S2 0.0000 0.3874 0.5494 x8

The value obtained for the volume is 19.6 Å³ per atom. The value obtained for the uncorrected formation energy is -1.02 eV per atom. As for the crystal system: orthorhombic. The calculation puts the density at 3.35 g/cm3. The calculation puts the spin magnetization at 1.0 μB per cell.


- What is the density in the seventh record?
  2.13 g/cm3